An optimized crystal structure of TlP2Se, computed with GGA-PBEsol.

Properties
DOS at the Fermi energy (states/eV/atom): 0.366
Mass density (g cm⁻³): 7.16
Formation energy from raw total energies (eV/f.u.): 1.30
Symmetry: R-3m
Total magnetization (μB per formula unit): 0.00
Final energy (eV per atom): -4.19

Cell and atoms, written as POSCAR:
```
TlP2Se
1.0
3.847 0.000 0.000
1.924 3.332 0.000
1.924 1.111 6.247
Se Tl P
1 1 2
Direct
0.500 0.500 0.500 Se
0.000 0.000 0.000 Tl
0.758 0.758 0.726 P
0.242 0.242 0.274 P
```

---

An optimized crystal structure of AlAgMo2, computed with GGA-PBEsol.

Properties
DOS at the Fermi energy (states/eV/atom): 0.760
Mass density (g cm⁻³): 8.65
Symmetry: P4mm
Total magnetization (μB per formula unit): 0.00
Final energy (eV per atom): -7.63

Cell and atoms, written as POSCAR:
```
AlAgMo2
1.0
0.000 -0.062 -3.217
1.421 -2.887 0.056
-5.435 -2.674 0.052
Al Mo Ag
1 2 1
Direct
0.500 0.500 0.750 Al
0.500 0.500 0.215 Mo
0.000 0.000 0.015 Mo
0.000 0.000 0.519 Ag
```

---

An optimized crystal structure of ZrCuNi2, computed with GGA-PBEsol.

Properties
DOS at the Fermi energy (states/eV/atom): 0.277
Mass density (g cm⁻³): 8.69
Symmetry: I-4m2
Total magnetization (μB per formula unit): 0.00
Final energy (eV per atom): -6.77

Cell and atoms, written as POSCAR:
```
ZrCuNi2
1.0
-0.232 -1.733 -3.195
1.272 -3.037 1.556
-4.185 1.291 1.679
Zr Cu Ni
1 1 2
Direct
0.000 0.000 0.000 Zr
0.750 0.250 0.500 Cu
0.500 0.500 0.000 Ni
0.250 0.750 0.500 Ni
```